VASP calculation (PBE-GGA) on a relaxed Lu2MgZn crystal.

Values from the calculation:
- raw total energy (Ha/atom) = -0.1167
- SG = P4/mmm (123)
- density (g/cm³) = 7.68

abc: 3.4896 3.4896 7.8099
angles: 90.00 90.00 90.00
With the nearest neighbours (Å) after each atom.
Element x y z (fractional)
Lu: 0.0000 0.0000 0.7795  4 Zn 3.01, 4 Mg 3.29
Lu: 0.0000 0.0000 0.2205  4 Zn 3.01, 4 Mg 3.29
Zn: 0.5000 0.5000 0.0000  8 Lu 3.01
Mg: 0.5000 0.5000 0.5000  8 Lu 3.29, 4 Mg 3.49